# 1
# La3NdDy2Ho6

A geometry-optimized La3NdDy2Ho6 structure (PBE, Alexandria). Values from VASP.

Results
Fermi-level density of states (states/eV/cell): 15.406
Size of the total moment (μB per cell): 0.00
Total DFT energy (no corrections) (eV/atom): -4.666
Symmetry: C2/m (12)

```
&SYSTEM
  ibrav = 0, nat = 12, ntyp = 4
/
ATOMIC_SPECIES
La 138.91 La.upf
Nd 144.24 Nd.upf
Dy 162.50 Dy.upf
Ho 164.93 Ho.upf
CELL_PARAMETERS angstrom
3.120 -5.404 0.000
3.120 5.404 0.000
-2.078 0.000 11.660
ATOMIC_POSITIONS crystal
La 0.000 0.000 0.000
La 0.333 0.667 0.000
La 0.667 0.333 0.000
Nd 0.500 0.500 0.500
Dy 0.167 0.833 0.500
Dy 0.833 0.167 0.500
Ho 0.084 0.418 0.254
Ho 0.248 0.248 0.746
Ho 0.418 0.084 0.254
Ho 0.582 0.916 0.746
Ho 0.752 0.752 0.254
Ho 0.916 0.582 0.746
```


# 2
# AcPr5Sm5

A geometry-optimized AcPr5Sm5 structure (PBE, Alexandria). Values from VASP.

Results
Fermi-level density of states (states/eV/cell): 17.938
Size of the total moment (μB per cell): 0.00
Total DFT energy (no corrections) (eV/atom): -4.438
Symmetry: P-6m2 (187)
Excess energy over the best structure of this formula in the dataset (meV per atom): 0

```
&SYSTEM
  ibrav = 0, nat = 11, ntyp = 3
/
ATOMIC_SPECIES
Ac 227.00 Ac.upf
Pr 140.91 Pr.upf
Sm 150.36 Sm.upf
CELL_PARAMETERS angstrom
6.329 0.000 0.000
-3.164 5.481 0.000
0.000 0.000 11.780
ATOMIC_POSITIONS crystal
Ac 0.000 0.000 0.000
Pr 0.000 0.000 0.332
Pr 0.000 0.000 0.668
Pr 0.333 0.667 0.162
Pr 0.333 0.667 0.838
Pr 0.667 0.333 0.000
Sm 0.003 0.502 0.500
Sm 0.498 0.502 0.500
Sm 0.498 0.997 0.500
Sm 0.667 0.333 0.266
Sm 0.667 0.333 0.734
```


> Which value of size of the total moment does entry 1 give?

0.00 μB per cell